Entry 1:
VASP calculation (PBE-GGA) on Ho3NiTe5 after structural relaxation.

Results
Magnetization (μB per atom): 0.0054
Final energy (eV per atom): -4.7727

Cell lengths 8.6008, 8.6008, 4.1109 Å; angles 90.00, 90.00, 120.00 degrees
Closest atoms and distances in Å follow each position.
Sites, in units of the cell vectors:
1 Ho 0.0000 0.2704 0.0000  2 Ni 3.10, 6 Te 3.16-3.17
2 Ho 0.2704 0.0000 0.0000  2 Ni 3.10, 6 Te 3.16-3.17
3 Ho 0.7296 0.7296 0.0000  2 Ni 3.10, 6 Te 3.16-3.17
4 Ni 0.0000 0.0000 0.5000  3 Te 2.47
5 Te 0.0000 0.7125 0.5000  1 Ni 2.47
6 Te 0.2875 0.2875 0.5000  1 Ni 2.47
7 Te 0.3333 0.6667 0.0000  3 Ho 3.17
8 Te 0.6667 0.3333 0.0000  3 Ho 3.17
9 Te 0.7125 0.0000 0.5000  1 Ni 2.47

---

Entry 2:
VASP calculation (PBE-GGA) on HoNi2Te after structural relaxation.

Results
Magnetization (μB per atom): 0.0004
Final energy (eV per atom): -5.1839

Cell lengths 4.1852, 6.2530, 5.4798 Å; angles 90.00, 90.00, 90.00 degrees
Closest atoms and distances in Å follow each position.
Sites, in units of the cell vectors:
1 Ho 0.0000 0.0851 0.0000  7 Ni 2.90-3.02, 3 Te 3.19-3.22
2 Ho 0.5000 0.9149 0.5000  7 Ni 2.90-3.02, 3 Te 3.19-3.22
3 Ni 0.0000 0.2512 0.5026  3 Te 2.59-2.69, 3 Ni 2.61-2.88
4 Ni 0.0000 0.6647 0.2701  3 Ni 2.61-2.88, 4 Te 2.71-2.76, 2 Ho 2.90
5 Ni 0.5000 0.3353 0.7701  3 Ni 2.61-2.88, 4 Te 2.71-2.76, 2 Ho 2.90
6 Ni 0.5000 0.7488 0.0026  3 Te 2.59-2.69, 3 Ni 2.61-2.88
7 Te 0.0000 0.6114 0.7706  7 Ni 2.59-2.76
8 Te 0.5000 0.3886 0.2706  7 Ni 2.59-2.76